Here is a relaxed BaZnPd crystal from the Open Quantum Materials Database. Energies are from PBE.

```
BaZnPd
1.0
3.590 0.000 0.000
0.000 3.590 0.000
0.000 0.000 11.640
Zn Pd Ba
2 2 2
Direct
0.500 0.500 0.500
0.000 0.000 0.000
0.500 0.500 0.114
0.500 0.500 0.886
0.000 0.000 0.706
0.000 0.000 0.294
```

Summary:
V in Å³ per cell: 150.0
Raw total energy in eV/atom: -2.995


Here is a relaxed BaZnPd crystal from the Open Quantum Materials Database. Energies are from PBE.

```
BaZnPd
1.0
0.000 3.730 3.730
3.730 0.000 3.730
3.730 3.730 0.000
Zn Pd Ba
1 1 1
Direct
0.750 0.750 0.750
0.250 0.250 0.250
0.000 0.000 0.000
```

Summary:
V in Å³ per cell: 103.8
Raw total energy in eV/atom: -2.629


Here is a relaxed BaZn2Pd2 crystal from the Open Quantum Materials Database. Energies are from PBE.

```
BaZn2Pd2
1.0
-4.778 3.218 2.560
-3.383 3.935 -3.579
2.100 -5.940 -0.217
Zn Pd Ba
2 2 1
Direct
0.250 0.750 0.500
0.750 0.250 0.500
0.371 0.371 0.000
0.629 0.629 0.000
0.000 0.000 0.000
```

Summary:
V in Å³ per cell: 109.4
Raw total energy in eV/atom: -3.473